CdGa6Pt after structural relaxation, computed with PBE-GGA.

abc: 5.493 5.493 6.150
angles: 104.46 104.46 100.80
Positions (direct):
1 Cd 0.000 0.000 0.000
2 Ga 0.204 0.204 0.629
3 Ga 0.609 0.156 0.217
4 Ga 0.796 0.796 0.371
5 Ga 0.844 0.391 0.783
6 Ga 0.391 0.844 0.783
7 Ga 0.156 0.609 0.217
8 Pt 0.500 0.500 0.500

Properties
Crystal system: monoclinic
Spin magnetization in Bohr magnetons per cell: 0.00
Formation energy in kJ/mol of atoms: -11
Theoretical density in g/cm3: 7.186

***

PmHoEr2 after structural relaxation, computed with PBE-GGA.

abc: 3.568 3.568 11.652
angles: 81.19 81.19 60.00
Positions (direct):
1 Pm 0.501 0.501 0.498
2 Ho 0.666 0.666 0.001
3 Er 0.082 0.082 0.754
4 Er 0.251 0.251 0.246

Properties
Distance to the lowest polymorph of the same formula in meV per atom: 0.0
Crystal system: trigonal
Spin magnetization in Bohr magnetons per cell: 0.00
Formation energy in kJ/mol of atoms: 2
Theoretical density in g/cm3: 8.465

***

K5RuO6 after structural relaxation, computed with PBE-GGA.

abc: 6.265 7.207 6.382
angles: 107.03 100.27 123.61
Each line ends with the local moment (μB).
Positions (direct):
1 Ru 0.000 0.000 0.000  0.65
2 K 0.337 0.837 0.673  0.00
3 K 0.667 0.667 0.335  0.00
4 K 0.000 0.500 0.000  0.00
5 K 0.333 0.333 0.665  0.00
6 K 0.663 0.163 0.327  0.00
7 O 0.118 0.313 0.249  0.04
8 O 0.131 0.936 0.249  0.04
9 O 0.370 0.184 0.000  0.05
10 O 0.630 0.816 0.000  0.05
11 O 0.869 0.064 0.751  0.04
12 O 0.882 0.687 0.751  0.04

Properties
E_tot in eV/atom: -4.9506
Crystal system: monoclinic
Spin magnetization in Bohr magnetons per cell: 1.05
Theoretical density in g/cm3: 3.143